(1)
! PBE AcEuTlAu, relaxed; values from VASP
&SYSTEM
  ibrav = 0, nat = 4, ntyp = 4
/
ATOMIC_SPECIES
Ac 227.00 Ac.upf
Eu 151.96 Eu.upf
Au 196.97 Au.upf
Tl 204.38 Tl.upf
ATOMIC_POSITIONS crystal
Ac 0.500 0.500 0.500
Eu 0.000 0.000 0.000
Au 0.250 0.250 0.250
Tl 0.750 0.750 0.750
CELL_PARAMETERS angstrom
5.581 0.000 0.000
2.791 4.833 0.000
2.791 1.611 4.557
! total energy	-22.28	eV per cell
! N(E_F)	11.26	states/eV/cell

=====

(2)
! PBE PrPuAlTl, relaxed; values from VASP
&SYSTEM
  ibrav = 0, nat = 4, ntyp = 4
/
ATOMIC_SPECIES
Al 26.98 Al.upf
Pu 244.00 Pu.upf
Pr 140.91 Pr.upf
Tl 204.38 Tl.upf
ATOMIC_POSITIONS crystal
Al 0.500 0.500 0.500
Pu 0.250 0.250 0.250
Pr 0.750 0.750 0.750
Tl 0.000 0.000 0.000
CELL_PARAMETERS angstrom
-4.729 -2.057 1.517
-0.348 -5.170 1.429
-0.832 -1.317 5.145
! total energy	-25.70	eV per cell
! N(E_F)	10.04	states/eV/cell

=====

(3)
! PBE ScMn2Be, relaxed; values from VASP
&SYSTEM
  ibrav = 0, nat = 4, ntyp = 3
/
ATOMIC_SPECIES
Mn 54.94 Mn.upf
Be 9.01 Be.upf
Sc 44.96 Sc.upf
ATOMIC_POSITIONS crystal
Mn 0.997 0.997 0.992
Mn 0.734 0.734 0.846
Be 0.262 0.262 0.177
Sc 0.507 0.507 0.485
CELL_PARAMETERS angstrom
-2.057 -2.749 -1.923
0.153 -1.855 -3.467
2.765 -4.283 1.478
! total energy	-27.76	eV per cell
! N(E_F)	3.45	states/eV/cell

=====

(4)
! PBE Ba2Tl2Cd, relaxed; values from VASP
&SYSTEM
  ibrav = 0, nat = 10, ntyp = 3
/
ATOMIC_SPECIES
Cd 112.41 Cd.upf
Ba 137.33 Ba.upf
Tl 204.38 Tl.upf
ATOMIC_POSITIONS crystal
Cd 0.500 0.500 0.000
Cd 0.000 0.000 0.000
Ba 0.327 0.173 0.500
Ba 0.827 0.327 0.500
Ba 0.673 0.827 0.500
Ba 0.173 0.673 0.500
Tl 0.626 0.126 0.000
Tl 0.374 0.874 0.000
Tl 0.126 0.374 0.000
Tl 0.874 0.626 0.000
CELL_PARAMETERS angstrom
-4.020 -7.620 -3.352
4.315 1.276 -8.075
3.522 -2.511 1.485
! total energy	-21.55	eV per cell
! N(E_F)	14.39	states/eV/cell

=====

(5)
! PBE CuAgIrBr6, relaxed; values from VASP
&SYSTEM
  ibrav = 0, nat = 18, ntyp = 4
/
ATOMIC_SPECIES
Br 79.90 Br.upf
Ag 107.87 Ag.upf
Cu 63.55 Cu.upf
Ir 192.22 Ir.upf
ATOMIC_POSITIONS crystal
Br 0.647 0.635 0.635
Br 0.012 0.647 0.365
Br 0.988 0.635 0.865
Br 0.365 0.012 0.635
Br 0.353 0.988 0.135
Br 0.988 0.353 0.635
Br 0.647 0.012 0.865
Br 0.012 0.365 0.135
Br 0.353 0.365 0.365
Br 0.635 0.647 0.135
Br 0.365 0.353 0.865
Br 0.635 0.988 0.365
Ag 0.000 0.000 0.000
Ag 0.000 0.000 0.500
Cu 0.667 0.333 0.250
Cu 0.333 0.667 0.750
Ir 0.667 0.333 0.750
Ir 0.333 0.667 0.250
CELL_PARAMETERS angstrom
6.617 0.000 0.000
-3.308 5.730 0.000
0.000 0.000 12.394
! N(E_F)	16.38	states/eV/cell
! formation energy without anion corrections	-0.2423	eV/atom

=====

(6)
! PBE ErZnIn, relaxed; values from VASP
&SYSTEM
  ibrav = 0, nat = 12, ntyp = 3
/
ATOMIC_SPECIES
In 114.82 In.upf
Zn 65.41 Zn.upf
Er 167.26 Er.upf
ATOMIC_POSITIONS crystal
In 0.667 0.333 0.376
In 0.333 0.667 0.876
In 0.333 0.667 0.624
In 0.667 0.333 0.124
Zn 0.667 0.333 0.883
Zn 0.667 0.333 0.617
Zn 0.333 0.667 0.117
Zn 0.333 0.667 0.383
Er 0.000 0.000 0.750
Er 0.000 0.000 0.250
Er 0.000 0.000 0.000
Er 0.000 0.000 0.500
CELL_PARAMETERS angstrom
-2.489 0.586 3.905
-2.112 -1.370 -3.930
2.298 -13.605 3.507
! total energy	-39.15	eV per cell
! N(E_F)	6.86	states/eV/cell

=====

(7)
! PBE BaTbSi, relaxed; values from VASP
&SYSTEM
  ibrav = 0, nat = 6, ntyp = 3
/
ATOMIC_SPECIES
Si 28.09 Si.upf
Ba 137.33 Ba.upf
Tb 158.93 Tb.upf
ATOMIC_POSITIONS crystal
Si 0.000 0.500 0.306
Si 0.500 0.000 0.694
Ba 0.500 0.000 0.134
Ba 0.000 0.500 0.866
Tb 0.500 0.500 0.500
Tb 0.000 0.000 0.500
CELL_PARAMETERS angstrom
-3.748 -1.681 2.981
2.630 -4.244 0.914
3.316 3.362 6.065
! N(E_F)	6.20	states/eV/cell
! formation energy without anion corrections	-0.4060	eV/atom

=====

(8)
! PBE BaRh2Cl, relaxed; values from VASP
&SYSTEM
  ibrav = 0, nat = 4, ntyp = 3
/
ATOMIC_SPECIES
Rh 102.91 Rh.upf
Ba 137.33 Ba.upf
Cl 35.45 Cl.upf
ATOMIC_POSITIONS crystal
Rh 0.000 0.000 0.103
Rh 0.500 0.500 0.189
Ba 0.000 0.000 0.493
Cl 0.500 0.500 0.714
CELL_PARAMETERS angstrom
-3.014 -1.339 -1.291
1.446 -3.233 -0.024
-2.628 -1.230 7.412
! N(E_F)	4.12	states/eV/cell
! formation energy without anion corrections	-0.3124	eV/atom

=====

(9)
! PBE CrCd3, relaxed; values from VASP
&SYSTEM
  ibrav = 0, nat = 4, ntyp = 2
/
ATOMIC_SPECIES
Cd 112.41 Cd.upf
Cr 52.00 Cr.upf
ATOMIC_POSITIONS crystal
Cd 0.985 0.992 0.017
Cd 0.094 0.750 0.500
Cd 0.501 0.508 0.983
Cr 0.586 0.250 0.500
CELL_PARAMETERS angstrom
5.253 0.000 0.000
0.000 3.153 0.000
2.627 1.577 4.911
! total energy	-11.33	eV per cell
! N(E_F)	1.86	states/eV/cell

=====

(10)
! PBE DyErMgRh, relaxed; values from VASP
&SYSTEM
  ibrav = 0, nat = 4, ntyp = 4
/
ATOMIC_SPECIES
Dy 162.50 Dy.upf
Er 167.26 Er.upf
Mg 24.30 Mg.upf
Rh 102.91 Rh.upf
ATOMIC_POSITIONS crystal
Dy 0.750 0.750 0.750
Er 0.250 0.250 0.250
Mg 0.000 0.000 0.000
Rh 0.500 0.500 0.500
CELL_PARAMETERS angstrom
5.029 0.000 0.000
2.514 4.355 0.000
2.514 1.452 4.106
! total energy	-19.81	eV per cell
! N(E_F)	1.74	states/eV/cell

=====

(11)
! PBE NaZn2GaTe4, relaxed; values from VASP
&SYSTEM
  ibrav = 0, nat = 8, ntyp = 4
/
ATOMIC_SPECIES
Na 22.99 Na.upf
Te 127.60 Te.upf
Zn 65.41 Zn.upf
Ga 69.72 Ga.upf
ATOMIC_POSITIONS crystal
Na 0.000 0.000 0.000
Te 0.138 0.138 0.734
Te 0.862 0.403 0.266
Te 0.403 0.862 0.266
Te 0.597 0.597 0.734
Zn 0.250 0.750 0.500
Zn 0.750 0.250 0.500
Ga 0.500 0.500 0.000
CELL_PARAMETERS angstrom
6.494 0.268 0.000
-0.271 6.494 0.000
-3.112 -3.381 6.099
! formation energy without anion corrections	-0.4897	eV/atom

=====

(12)
! PBE Y6Te3SeS2, relaxed; values from VASP
&SYSTEM
  ibrav = 0, nat = 12, ntyp = 4
/
ATOMIC_SPECIES
Te 127.60 Te.upf
Y 88.91 Y.upf
S 32.06 S.upf
Se 78.96 Se.upf
ATOMIC_POSITIONS crystal
Te 0.837 0.163 0.500
Te 0.500 0.500 0.500
Te 0.163 0.837 0.500
Y 0.931 0.584 0.793
Y 0.416 0.069 0.207
Y 0.721 0.721 0.204
Y 0.584 0.931 0.793
Y 0.279 0.279 0.796
Y 0.069 0.416 0.207
S 0.667 0.333 0.000
S 0.333 0.667 0.000
Se 0.000 0.000 0.000
CELL_PARAMETERS angstrom
7.166 -0.005 0.000
-3.586 6.205 0.000
-1.194 -2.068 6.955
! N(E_F)	4.48	states/eV/cell
! formation energy without anion corrections	-1.6358	eV/atom

=====

(13)
! PBE Ca2PrNd, relaxed; values from VASP
&SYSTEM
  ibrav = 0, nat = 4, ntyp = 3
/
ATOMIC_SPECIES
Nd 144.24 Nd.upf
Ca 40.08 Ca.upf
Pr 140.91 Pr.upf
ATOMIC_POSITIONS crystal
Nd 0.500 0.000 0.000
Ca 0.000 0.500 0.000
Ca 0.000 0.000 0.500
Pr 0.500 0.500 0.500
CELL_PARAMETERS angstrom
5.652 0.000 0.000
0.000 5.165 0.000
0.000 0.000 5.165
! total energy	-13.12	eV per cell
! N(E_F)	5.64	states/eV/cell

=====

(14)
! PBE Li3Ac4Sn4, relaxed; values from VASP
&SYSTEM
  ibrav = 0, nat = 11, ntyp = 3
/
ATOMIC_SPECIES
Ac 227.00 Ac.upf
Sn 118.71 Sn.upf
Li 6.94 Li.upf
ATOMIC_POSITIONS crystal
Ac 0.661 0.921 0.322
Ac 0.339 0.079 0.678
Ac 0.661 0.401 0.322
Ac 0.339 0.599 0.678
Sn 0.500 0.815 0.000
Sn 0.797 0.297 0.595
Sn 0.203 0.703 0.405
Sn 0.500 0.185 0.000
Li 0.061 0.061 0.123
Li 0.000 0.500 0.000
Li 0.939 0.939 0.877
CELL_PARAMETERS angstrom
-0.091 4.536 -1.237
-7.733 0.501 2.405
7.069 0.161 9.009
! total energy	-40.91	eV per cell
! N(E_F)	9.93	states/eV/cell

=====

(15)
! PBE Pr3SbRu, relaxed; values from VASP
&SYSTEM
  ibrav = 0, nat = 20, ntyp = 3
/
ATOMIC_SPECIES
Pr 140.91 Pr.upf
Sb 121.76 Sb.upf
Ru 101.07 Ru.upf
ATOMIC_POSITIONS crystal
Pr 0.903 0.310 0.471
Pr 0.305 0.073 0.427
Pr 0.598 0.811 0.971
Pr 0.403 0.471 0.310
Pr 0.097 0.690 0.529
Pr 0.695 0.927 0.573
Pr 0.805 0.427 0.073
Pr 0.597 0.529 0.690
Pr 0.098 0.971 0.811
Pr 0.902 0.029 0.189
Pr 0.195 0.573 0.927
Pr 0.402 0.189 0.029
Sb 0.250 0.833 0.167
Sb 0.250 0.333 0.667
Sb 0.750 0.667 0.333
Sb 0.750 0.167 0.833
Ru 0.881 0.698 0.802
Ru 0.381 0.802 0.698
Ru 0.119 0.302 0.198
Ru 0.619 0.198 0.302
CELL_PARAMETERS angstrom
7.891 -0.246 -0.184
0.262 8.792 -0.536
0.262 1.970 8.586
! N(E_F)	15.89	states/eV/cell
! formation energy without anion corrections	-0.4472	eV/atom

=====

(16)
! PBE Ti2Be2As, relaxed; values from VASP
&SYSTEM
  ibrav = 0, nat = 10, ntyp = 3
/
ATOMIC_SPECIES
Ti 47.87 Ti.upf
Be 9.01 Be.upf
As 74.92 As.upf
ATOMIC_POSITIONS crystal
Ti 0.841 0.659 0.000
Ti 0.659 0.159 0.000
Ti 0.159 0.341 0.000
Ti 0.341 0.841 0.000
Be 0.376 0.124 0.500
Be 0.624 0.876 0.500
Be 0.124 0.624 0.500
Be 0.876 0.376 0.500
As 0.500 0.500 0.000
As 0.000 0.000 0.000
CELL_PARAMETERS angstrom
6.437 0.000 0.000
0.000 6.437 0.000
0.000 0.000 3.651
! total energy	-56.09	eV per cell
! N(E_F)	9.77	states/eV/cell

=====

(17)
! PBE SbPtSe2, relaxed; values from VASP
&SYSTEM
  ibrav = 0, nat = 4, ntyp = 3
/
ATOMIC_SPECIES
Se 78.96 Se.upf
Pt 195.08 Pt.upf
Sb 121.76 Sb.upf
ATOMIC_POSITIONS crystal
Se 0.000 0.000 0.000
Se 0.500 0.000 0.500
Pt 0.000 0.500 0.500
Sb 0.500 0.500 0.000
CELL_PARAMETERS angstrom
-0.330 0.979 -4.706
-4.234 -1.787 1.458
-3.410 3.270 -0.947
! N(E_F)	1.87	states/eV/cell
! formation energy without anion corrections	-0.0716	eV/atom

=====

(18)
! PBE CeInHgAu, relaxed; values from VASP
&SYSTEM
  ibrav = 0, nat = 4, ntyp = 4
/
ATOMIC_SPECIES
Hg 200.59 Hg.upf
Au 196.97 Au.upf
In 114.82 In.upf
Ce 140.12 Ce.upf
ATOMIC_POSITIONS crystal
Hg 0.500 0.500 0.500
Au 0.000 0.000 0.000
In 0.250 0.250 0.250
Ce 0.750 0.750 0.750
CELL_PARAMETERS angstrom
5.130 0.000 0.000
2.565 4.443 0.000
2.565 1.481 4.189
! total energy	-14.24	eV per cell
! N(E_F)	7.04	states/eV/cell

=====

(19)
! PBE Cd2Cl, relaxed; values from VASP
&SYSTEM
  ibrav = 0, nat = 6, ntyp = 2
/
ATOMIC_SPECIES
Cd 112.41 Cd.upf
Cl 35.45 Cl.upf
ATOMIC_POSITIONS crystal
Cd 0.125 0.125 0.125
Cd 0.125 0.625 0.125
Cd 0.625 0.125 0.125
Cd 0.125 0.125 0.625
Cl 0.500 0.500 0.500
Cl 0.750 0.750 0.750
CELL_PARAMETERS angstrom
1.247 -2.356 5.324
1.694 3.523 4.491
-3.665 0.930 4.599
! N(E_F)	5.59	states/eV/cell
! formation energy without anion corrections	-0.1499	eV/atom

=====

(20)
! PBE RbNa4Cu3F12, relaxed; values from VASP
&SYSTEM
  ibrav = 0, nat = 20, ntyp = 4
/
ATOMIC_SPECIES
Cu 63.55 Cu.upf
F 19.00 F.upf
Na 22.99 Na.upf
Rb 85.47 Rb.upf
ATOMIC_POSITIONS crystal
Cu 0.500 0.500 0.000
Cu 0.500 0.000 0.500
Cu 0.000 0.500 0.500
F 0.157 0.821 0.664
F 0.821 0.664 0.157
F 0.843 0.179 0.336
F 0.493 0.336 0.157
F 0.507 0.664 0.843
F 0.664 0.157 0.821
F 0.336 0.157 0.493
F 0.179 0.336 0.843
F 0.843 0.507 0.664
F 0.336 0.843 0.179
F 0.664 0.843 0.507
F 0.157 0.493 0.336
Na 0.500 0.500 0.500
Na 0.000 0.000 0.500
Na 0.000 0.500 0.000
Na 0.500 0.000 0.000
Rb 0.000 0.000 0.000
CELL_PARAMETERS angstrom
-1.594 -6.681 -1.929
5.795 2.180 -3.545
1.285 0.208 7.015
! N(E_F)	11.51	states/eV/cell
! formation energy without anion corrections	-2.1690	eV/atom